(1)
A plane-wave DFT calculation with PBE was carried out for crystalline CsRe2TeN at its relaxed geometry.

Output
M_tot = 0.00 Bohr magnetons per cell
raw total energy = -30.547 eV for the cell shown
space-group type = P4/mmm
formation energy from raw total energies = 6.67 eV per formula unit

Unit cell a=4.2026 b=5.7717 c=4.2026 alpha=90.00 beta=90.00 gamma=90.00
Positions (direct):
Cs  0.0000  0.5000  0.0000
Re  0.0000  0.0000  0.5000
Re  0.5000  0.0000  0.0000
N  0.0000  0.0000  0.0000
Te  0.5000  0.5000  0.5000


(2)
A plane-wave DFT calculation with PBE was carried out for crystalline MgSb2P at its relaxed geometry.

Output
M_tot = 0.00 Bohr magnetons per cell
raw total energy = -29.419 eV for the cell shown
space-group type = I-42d
formation energy from raw total energies = 0.54 eV per formula unit
relative energy among the computed polymorphs = 0.189 eV/atom

Unit cell a=6.3222 b=6.3222 c=7.8038 alpha=66.10 beta=66.10 gamma=90.00
Positions (direct):
Mg  0.2500  0.7500  0.5000
Mg  0.5000  0.5000  0.0000
Sb  0.0988  0.6250  0.2500
Sb  0.8750  0.9012  0.7500
Sb  0.3750  0.3488  0.7500
Sb  0.6512  0.1250  0.2500
P  0.0000  0.0000  0.0000
P  0.7500  0.2500  0.5000


(3)
A plane-wave DFT calculation with PBE was carried out for crystalline Np2Br4O5 at its relaxed geometry.

Output
M_tot = 0.11 Bohr magnetons per cell
raw total energy = -75.902 eV for the cell shown
space-group type = P2/m
formation energy from raw total energies = -18.54 eV per formula unit

Unit cell a=4.6548 b=6.2206 c=9.8347 alpha=90.94 beta=90.00 gamma=90.00
Site moments in Bohr magnetons follow the coordinates.
Positions (direct):
O  0.0000  0.8687  0.8311  0.01
O  0.0000  0.0000  0.5000  0.02
O  0.0000  0.3405  0.6446  0.01
O  0.0000  0.1313  0.1689  0.01
O  0.0000  0.6595  0.3554  0.01
Np  0.0000  0.9250  0.2912  -0.10
Np  0.0000  0.0750  0.7088  -0.10
Br  0.5000  0.2464  0.8582  0.01
Br  0.5000  0.7536  0.1418  0.01
Br  0.5000  0.1980  0.3614  0.01
Br  0.5000  0.8020  0.6386  0.01


(4)
A plane-wave DFT calculation with PBE was carried out for crystalline MgTiReGe2 at its relaxed geometry.

Output
M_tot = 1.20 Bohr magnetons per cell
raw total energy = -22.838 eV for the cell shown
energy relative to the elements = 1.667 eV per atom
space-group type = P4/mmm

Unit cell a=4.6838 b=4.8296 c=4.6838 alpha=90.00 beta=90.00 gamma=90.00
Site moments in Bohr magnetons follow the coordinates.
Positions (direct):
Re  0.5000  0.5000  0.5000  2.45
Ti  0.0000  0.5000  0.0000  -1.33
Ge  0.5000  0.0000  0.0000  0.01
Ge  0.0000  0.0000  0.5000  0.02
Mg  0.0000  0.0000  0.0000  -0.01


(5)
A plane-wave DFT calculation with PBE was carried out for crystalline Mn3CuW at its relaxed geometry.

Output
M_tot = 8.52 Bohr magnetons per cell
raw total energy = -37.639 eV for the cell shown
energy relative to the elements = 1.384 eV per atom
space-group type = Pm-3m
relative energy among the computed polymorphs = 0.000 eV/atom

Unit cell a=4.3829 b=4.3829 c=4.3829 alpha=90.00 beta=90.00 gamma=90.00
Site moments in Bohr magnetons follow the coordinates.
Positions (direct):
Mn  0.5000  0.0000  0.0000  3.27
Mn  0.0000  0.5000  0.0000  3.53
Mn  0.0000  0.0000  0.5000  3.47
W  0.5000  0.5000  0.5000  -1.96
Cu  0.0000  0.0000  0.0000  0.30


(6)
A plane-wave DFT calculation with PBE was carried out for crystalline Ac3Ga3Ni2 at its relaxed geometry.

Output
M_tot = 0.00 Bohr magnetons per cell
raw total energy = -73.390 eV for the cell shown
energy relative to the elements = -0.466 eV per atom
space-group type = Cmcm

Unit cell a=4.2398 b=6.1697 c=15.9182 alpha=90.00 beta=90.00 gamma=110.10
Positions (direct):
Ni  0.2354  0.4708  0.1106
Ni  0.7646  0.5292  0.8894
Ni  0.7646  0.5292  0.6106
Ni  0.2354  0.4708  0.3894
Ga  0.6710  0.3420  0.0367
Ga  0.6710  0.3420  0.4633
Ga  0.3630  0.7259  0.2500
Ga  0.3290  0.6580  0.5367
Ga  0.6370  0.2741  0.7500
Ga  0.3290  0.6580  0.9633
Ac  0.0605  0.1210  0.8951
Ac  0.3408  0.6815  0.7500
Ac  0.9395  0.8790  0.3951
Ac  0.6592  0.3185  0.2500
Ac  0.9395  0.8790  0.1049
Ac  0.0605  0.1210  0.6049


(7)
A plane-wave DFT calculation with PBE was carried out for crystalline LiTm2InO5 at its relaxed geometry.

Output
M_tot = 0.00 Bohr magnetons per cell
raw total energy = -124.277 eV for the cell shown
space-group type = Cmc2_1
formation energy from raw total energies = -23.75 eV per formula unit

Unit cell a=3.2560 b=6.7460 c=9.6820 alpha=90.00 beta=90.00 gamma=103.97
Positions (direct):
O  0.0448  0.0895  0.0687
O  0.3004  0.6008  0.3461
O  0.9552  0.9105  0.5687
O  0.7110  0.4220  0.1628
O  0.6996  0.3992  0.8461
O  0.4993  0.9985  0.2842
O  0.6366  0.2732  0.5087
O  0.3634  0.7268  0.0087
O  0.2890  0.5780  0.6628
O  0.5007  0.0015  0.7842
Li  0.5132  0.0263  0.9828
Li  0.4868  0.9737  0.4828
Tm  0.8777  0.7553  0.7893
Tm  0.1092  0.2184  0.6832
Tm  0.1223  0.2447  0.2893
Tm  0.8908  0.7816  0.1832
In  0.1985  0.3969  0.9982
In  0.8015  0.6031  0.4982


(8)
A plane-wave DFT calculation with PBE was carried out for crystalline Li12MgRh6 at its relaxed geometry.

Output
M_tot = 0.00 Bohr magnetons per cell
raw total energy = -69.775 eV for the cell shown
energy relative to the elements = -0.058 eV per atom
space-group type = R-3m

Unit cell a=6.5896 b=6.5896 c=6.5896 alpha=101.05 beta=101.05 gamma=101.05
Positions (direct):
Li  0.0000  0.7386  0.2613
Li  0.7386  0.2613  0.0000
Li  0.5815  0.5815  0.1844
Li  0.8156  0.4185  0.4185
Li  0.0000  0.2614  0.7387
Li  0.1844  0.5815  0.5815
Li  0.7387  0.0000  0.2614
Li  0.2613  0.0000  0.7386
Li  0.5815  0.1844  0.5815
Li  0.2614  0.7387  0.0000
Li  0.4185  0.4185  0.8156
Li  0.4185  0.8156  0.4185
Rh  0.8482  0.8482  0.5858
Rh  0.5858  0.8482  0.8482
Rh  0.4142  0.1518  0.1518
Rh  0.1518  0.4142  0.1518
Rh  0.1518  0.1518  0.4142
Rh  0.8482  0.5858  0.8482
Mg  0.0000  0.0000  0.0000


(9)
A plane-wave DFT calculation with PBE was carried out for crystalline LiZrU2N5 at its relaxed geometry.

Output
M_tot = 2.92 Bohr magnetons per cell
raw total energy = -169.401 eV for the cell shown
space-group type = Cmc2_1
formation energy from raw total energies = -10.04 eV per formula unit

Unit cell a=3.3120 b=6.6146 c=10.2319 alpha=90.00 beta=90.00 gamma=104.50
Site moments in Bohr magnetons follow the coordinates.
Positions (direct):
N  0.3594  0.7188  0.0164  -0.05
N  0.6406  0.2812  0.5164  -0.05
N  0.7110  0.4221  0.1563  -0.04
N  0.9615  0.9230  0.5808  -0.05
N  0.3033  0.6065  0.3501  -0.04
N  0.4863  0.9726  0.7849  -0.08
N  0.0385  0.0770  0.0808  -0.05
N  0.6967  0.3935  0.8501  -0.04
N  0.2890  0.5779  0.6563  -0.04
N  0.5137  0.0274  0.2849  -0.08
U  0.8678  0.7355  0.7909  0.75
U  0.8883  0.7767  0.1705  0.88
U  0.1322  0.2645  0.2909  0.75
U  0.1117  0.2233  0.6705  0.88
Li  0.4899  0.9798  0.4783  0.00
Li  0.5101  0.0202  0.9783  0.00
Zr  0.1951  0.3903  0.9957  0.02
Zr  0.8049  0.6097  0.4957  0.02


(10)
A plane-wave DFT calculation with PBE was carried out for crystalline Tb2Nd5HoTm at its relaxed geometry.

Output
M_tot = 0.00 Bohr magnetons per cell
raw total energy = -81.774 eV for the cell shown
energy relative to the elements = 0.140 eV per atom
space-group type = Cmc2_1

Unit cell a=5.6514 b=10.5919 c=10.6894 alpha=90.00 beta=90.00 gamma=105.47
Positions (direct):
Ho  0.5930  0.1859  0.9640
Ho  0.4070  0.8141  0.4640
Nd  0.9841  0.9681  0.5161
Nd  0.2971  0.5941  0.7071
Nd  0.7210  0.4420  0.8136
Nd  0.7029  0.4059  0.2071
Nd  0.5163  0.0325  0.2443
Nd  0.3828  0.7657  0.0205
Nd  0.0159  0.0319  0.0161
Nd  0.2790  0.5580  0.3136
Nd  0.4837  0.9675  0.7443
Nd  0.6172  0.2343  0.5205
Tb  0.8854  0.7708  0.8093
Tb  0.1131  0.2261  0.7382
Tb  0.1146  0.2292  0.3093
Tb  0.8869  0.7739  0.2382
Tm  0.8017  0.6035  0.5109
Tm  0.1983  0.3965  0.0109


(11)
A plane-wave DFT calculation with PBE was carried out for crystalline Gd2ErPa at its relaxed geometry.

Output
M_tot = 13.68 Bohr magnetons per cell
raw total energy = -41.322 eV for the cell shown
energy relative to the elements = 0.225 eV per atom
space-group type = P4/mmm
relative energy among the computed polymorphs = 0.093 eV/atom

Unit cell a=4.9067 b=4.9020 c=4.9020 alpha=90.00 beta=90.00 gamma=90.00
Site moments in Bohr magnetons follow the coordinates.
Positions (direct):
Er  0.5000  0.0000  0.0000  -0.07
Gd  0.0000  0.5000  0.0000  7.06
Gd  0.0000  0.0000  0.5000  7.06
Pa  0.5000  0.5000  0.5000  -0.52


(12)
A plane-wave DFT calculation with PBE was carried out for crystalline CeHoHg4 at its relaxed geometry.

Output
M_tot = 0.93 Bohr magnetons per cell
raw total energy = -13.734 eV for the cell shown
energy relative to the elements = -0.336 eV per atom
space-group type = Amm2
relative energy among the computed polymorphs = 0.014 eV/atom

Unit cell a=3.9544 b=5.2470 c=7.7149 alpha=90.00 beta=104.85 gamma=90.00
Site moments in Bohr magnetons follow the coordinates.
Positions (direct):
Hg  0.3182  0.4973  0.3818  0.00
Hg  0.9779  0.4973  0.7001  0.00
Hg  0.1915  0.9973  0.1283  0.00
Hg  0.5181  0.9973  0.7832  0.00
Ce  0.6465  0.4973  0.0378  0.85
Ho  0.8557  0.9973  0.4575  -0.01


(13)
A plane-wave DFT calculation with PBE was carried out for crystalline BaTc2Rh at its relaxed geometry.

Output
M_tot = 0.00 Bohr magnetons per cell
raw total energy = -27.294 eV for the cell shown
energy relative to the elements = 0.678 eV per atom
space-group type = Pmmm
relative energy among the computed polymorphs = 0.296 eV/atom

Unit cell a=2.9512 b=3.8068 c=7.5212 alpha=90.00 beta=90.00 gamma=90.00
Positions (direct):
Rh  0.5000  0.5000  0.7500
Tc  0.0000  0.0000  0.9073
Tc  0.0000  0.0000  0.5927
Ba  0.5000  0.5000  0.2500


(14)
A plane-wave DFT calculation with PBE was carried out for crystalline CuSiMo4 at its relaxed geometry.

Output
M_tot = 0.00 Bohr magnetons per cell
raw total energy = -48.959 eV for the cell shown
space-group type = F-43m
formation energy from raw total energies = 3.88 eV per formula unit

Unit cell a=5.1798 b=5.1798 c=5.1798 alpha=60.00 beta=60.00 gamma=60.00
Positions (direct):
Si  0.2500  0.2500  0.2500
Mo  0.1220  0.6260  0.6260
Mo  0.6260  0.6260  0.1220
Mo  0.6260  0.6260  0.6260
Mo  0.6260  0.1220  0.6260
Cu  0.0000  0.0000  0.0000


(15)
A plane-wave DFT calculation with PBE was carried out for crystalline PrDyCd2Hg4 at its relaxed geometry.

Output
M_tot = 0.00 Bohr magnetons per cell
raw total energy = -15.549 eV for the cell shown
energy relative to the elements = -0.391 eV per atom
space-group type = R-3m

Unit cell a=5.1493 b=5.1493 c=8.9613 alpha=73.30 beta=73.30 gamma=60.00
Positions (direct):
Hg  0.1280  0.1280  0.6161
Hg  0.8720  0.8720  0.3839
Hg  0.3784  0.3784  0.8649
Hg  0.6216  0.6216  0.1351
Cd  0.2503  0.2503  0.2492
Cd  0.7497  0.7497  0.7508
Pr  0.0000  0.0000  0.0000
Dy  0.5000  0.5000  0.5000


(16)
A plane-wave DFT calculation with PBE was carried out for crystalline RbU3Ag4S12 at its relaxed geometry.

Output
M_tot = 0.00 Bohr magnetons per cell
raw total energy = -109.635 eV for the cell shown
space-group type = R32
formation energy from raw total energies = -13.87 eV per formula unit

Unit cell a=8.9225 b=8.9225 c=8.9225 alpha=108.09 beta=108.09 gamma=108.09
Positions (direct):
S  0.5000  0.1043  0.8957
S  0.3490  0.9418  0.2539
S  0.2539  0.3490  0.9418
S  0.3311  0.6689  0.5000
S  0.6510  0.7461  0.0582
S  0.7461  0.0582  0.6510
S  0.8957  0.5000  0.1043
S  0.5000  0.3311  0.6689
S  0.9418  0.2539  0.3490
S  0.1043  0.8957  0.5000
S  0.0582  0.6510  0.7461
S  0.6689  0.5000  0.3311
U  0.4361  0.0000  0.5639
U  0.5639  0.4361  0.0000
U  0.0000  0.5639  0.4361
Rb  0.0000  0.0000  0.0000
Ag  0.9330  0.0670  0.5000
Ag  0.5000  0.5000  0.5000
Ag  0.0670  0.5000  0.9330
Ag  0.5000  0.9330  0.0670


(17)
A plane-wave DFT calculation with PBE was carried out for crystalline Li5Ca2Zn at its relaxed geometry.

Output
M_tot = 0.00 Bohr magnetons per cell
raw total energy = -14.637 eV for the cell shown
energy relative to the elements = 0.026 eV per atom
space-group type = I4mm

Unit cell a=5.9780 b=5.9780 c=7.3495 alpha=65.98 beta=65.98 gamma=89.99
Positions (direct):
Li  0.7256  0.2110  0.0634
Li  0.2110  0.7256  0.0634
Li  0.7256  0.7256  0.0634
Li  0.3221  0.3221  0.3563
Li  0.2111  0.2111  0.0633
Ca  0.7073  0.2072  0.5855
Ca  0.2072  0.7073  0.5855
Zn  0.1132  0.1132  0.7734


(18)
A plane-wave DFT calculation with PBE was carried out for crystalline LaIn4Pd6 at its relaxed geometry.

Output
M_tot = 0.00 Bohr magnetons per cell
raw total energy = -51.505 eV for the cell shown
energy relative to the elements = -0.406 eV per atom
space-group type = I-42m

Unit cell a=7.0339 b=7.0339 c=7.0339 alpha=86.33 beta=122.14 gamma=122.14
Positions (direct):
Pd  0.5000  0.5000  0.0000
Pd  0.6686  0.2465  0.2465
Pd  0.0000  0.7535  0.4221
Pd  0.3314  0.5779  0.5779
Pd  0.5000  0.0000  0.5000
Pd  0.0000  0.4221  0.7535
In  0.5923  0.4834  0.4834
In  0.4077  0.8911  0.8911
In  0.0000  0.5166  0.1089
In  0.0000  0.1089  0.5166
La  0.0000  0.0000  0.0000


(19)
A plane-wave DFT calculation with PBE was carried out for crystalline V4TcW5 at its relaxed geometry.

Output
M_tot = 0.00 Bohr magnetons per cell
raw total energy = -107.080 eV for the cell shown
energy relative to the elements = 0.453 eV per atom
space-group type = C2/m
relative energy among the computed polymorphs = 0.552 eV/atom

Unit cell a=4.2212 b=5.9969 c=7.4036 alpha=116.03 beta=106.56 gamma=90.00
Positions (direct):
V  0.0016  0.2411  0.0033
V  0.3360  0.0628  0.6719
V  0.6640  0.9372  0.3280
V  0.9984  0.7589  0.9967
W  0.1917  0.2482  0.3833
W  0.5000  0.5000  0.0000
W  0.8333  0.3330  0.6667
W  0.8083  0.7518  0.6167
W  0.1667  0.6670  0.3333
Tc  0.5000  0.0000  0.0000